Entry 1:
{
  "formula": "ZrRuCl2",
  "functional": "PBE",
  "state": "optimized geometry",
  "cell": [[3.5584, 0.0000, 0.0000], [0.0000, 3.5584, 0.0000], [0.0000, 0.0000, 7.0347]],
  "species": ["Zr", "Ru", "Cl", "Cl"],
  "fractional_positions": [[0.0000, 0.0000, 0.0000], [0.5000, 0.5000, 0.8616], [0.0000, 0.0000, 0.6347], [0.5000, 0.5000, 0.2065]]
}

Entry 2:
{
  "formula": "ZrRuCl2",
  "functional": "PBE",
  "state": "optimized geometry",
  "cell": [[10.1699, 0.0000, 0.0000], [0.0000, 3.3623, 0.0000], [-0.9295, 0.0000, 5.4032]],
  "species": ["Zr", "Zr", "Ru", "Ru", "Cl", "Cl", "Cl", "Cl"],
  "fractional_positions": [[0.0000, 0.0000, 0.0000], [0.5000, 0.5000, 0.0000], [0.1217, 0.5000, 0.2703], [0.6217, 0.0000, 0.2703], [0.2750, 0.0000, 0.0030], [0.4929, 0.0000, 0.5925], [0.7750, 0.5000, 0.0030], [0.9929, 0.5000, 0.5925]]
}

Entry 3:
{
  "formula": "ZrRuCl2",
  "functional": "PBE",
  "state": "optimized geometry",
  "cell": [[3.8718, 0.0000, 0.0000], [0.0000, 3.8718, 0.0000], [0.0000, 0.0000, 9.1155]],
  "species": ["Zr", "Zr", "Ru", "Ru", "Cl", "Cl", "Cl", "Cl"],
  "fractional_positions": [[0.0000, 0.0000, 0.0000], [0.5000, 0.5000, 0.5000], [0.0000, 0.5000, 0.2500], [0.5000, 0.0000, 0.7500], [0.0000, 0.0000, 0.5000], [0.0000, 0.5000, 0.7500], [0.5000, 0.0000, 0.2500], [0.5000, 0.5000, 0.0000]]
}

What VASP energy values result from the calculations? In sequence: -5.917, -5.936, -5.418 eV per atom.
What energy above the lowest structure with this stoichiometry values result from the calculations? In sequence: 0.062, 0.043, 0.562 eV per atom.
What E_form (uncorrected) values result from the calculations? In sequence: -538, -557, -38 meV/atom.